Crystalline Cr2Cd at its relaxed geometry, computed with PBE-GGA.

Output
Its symmetry is I4/mcm. The formation energy is 0.846 eV per atom. As for the energy: -35.2 eV per cell.

Cell lengths 5.0359, 5.0359, 5.0359 Å; angles 105.83, 105.83, 117.03 degrees
Closest atoms and distances in Å follow each position.
Positions (direct):
Cr 0.1089 0.6089 0.7178  1 Cr 1.87
Cr 0.3911 0.1089 0.5000  1 Cr 1.87
Cr 0.6089 0.8911 0.5000  1 Cr 1.87
Cr 0.8911 0.3911 0.2822  1 Cr 1.87
Cd 0.2500 0.2500 0.0000  2 Cd 2.63, 8 Cr 2.79
Cd 0.7500 0.7500 0.0000  2 Cd 2.63, 8 Cr 2.79


Crystalline Ba3Cd8Au3 at its relaxed geometry, computed with PBE-GGA.

Output
Its symmetry is C2/m. The formation energy is -0.391 eV per atom. As for the energy: -28.4 eV per cell.

Cell lengths 9.4474, 9.4474, 10.1516 Å; angles 121.20, 121.20, 30.26 degrees
Closest atoms and distances in Å follow each position.
Positions (direct):
Ba 0.0000 0.0000 0.0000  8 Cd 3.47-3.84, 4 Au 3.57
Ba 0.2846 0.2846 0.3114  10 Cd 3.47-3.87, 3 Au 3.48-3.65
Ba 0.7154 0.7154 0.6886  10 Cd 3.47-3.87, 3 Au 3.48-3.65
Cd 0.1203 0.1203 0.4053  3 Au 2.83-2.91
Cd 0.1319 0.1319 0.8276  1 Au 2.87, 5 Cd 2.97-3.15
Cd 0.3340 0.3340 0.9848  1 Au 2.92, 4 Cd 2.97-3.13
Cd 0.4933 0.4933 0.3239  3 Au 2.98-3.01, 5 Cd 3.09-3.17
Cd 0.5067 0.5067 0.6761  3 Au 2.98-3.01, 5 Cd 3.09-3.17
Cd 0.6660 0.6660 0.0152  1 Au 2.92, 4 Cd 2.97-3.13
Cd 0.8681 0.8681 0.1724  1 Au 2.87, 5 Cd 2.97-3.15
Cd 0.8797 0.8797 0.5947  3 Au 2.83-2.91
Au 0.0000 0.0000 0.5000  8 Cd 2.83-3.01
Au 0.3597 0.3597 0.7248  4 Cd 2.91-2.98
Au 0.6403 0.6403 0.2752  4 Cd 2.91-2.98


Crystalline Tm4CSe2 at its relaxed geometry, computed with PBE-GGA.

Output
The calculation puts the raw formation energy at -0.793 eV per atom. Its symmetry is I4/mmm. For the energy above the most stable polymorph in this dataset, the calculation gives 285 meV per atom. As for the energy: -39.6 eV per cell.

Cell lengths 7.7128, 7.7128, 7.7128 Å; angles 143.33, 143.33, 52.84 degrees
Closest atoms and distances in Å follow each position.
Positions (direct):
Tm 0.0000 0.5000 0.5000  2 C 2.43
Tm 0.1746 0.1746 0.0000  1 C 2.41
Tm 0.5000 0.0000 0.5000  2 C 2.43
Tm 0.8254 0.8254 0.0000  1 C 2.41
C 0.0000 0.0000 0.0000  6 Tm 2.41-2.43
Se 0.3769 0.3769 0.0000  5 Tm 2.79-2.96
Se 0.6231 0.6231 0.0000  5 Tm 2.79-2.96